Record 1
# Ga13Ru2 | Alexandria via LeMat-Bulk | PBE | optimized geometry
# formation energy: -0.14 eV per atom
data_Ga13Ru2
_chemical_formula_sum 'Ga13 Ru2'
_space_group_name_H-M_alt 'P -1'
_space_group_IT_number 2
_cell_length_a 5.159
_cell_length_b 7.086
_cell_length_c 7.325
_cell_angle_alpha 104.65
_cell_angle_beta 91.29
_cell_angle_gamma 90.76
loop_
_space_group_symop_operation_xyz
'x,y,z'
'-x,-y,-z'
loop_
_atom_site_label
_atom_site_type_symbol
_atom_site_fract_x
_atom_site_fract_y
_atom_site_fract_z
Ga1 Ga 0.000 0.000 0.000
Ga2 Ga 0.012 0.826 0.365
Ga3 Ga 0.225 0.522 0.106
Ga4 Ga 0.231 0.251 0.311
Ga5 Ga 0.241 0.541 0.702
Ga6 Ga 0.498 0.198 0.611
Ga7 Ga 0.500 0.186 0.982
Ru1 Ru 0.265 0.905 0.716

Record 2
# Ba3Pb5F12 | Alexandria via LeMat-Bulk | PBE | optimized geometry
# DFT total energy: -0.35534 Ry per atom
data_Ba3Pb5F12
_chemical_formula_sum 'Ba24 Pb40 F96'
_space_group_name_H-M_alt 'I a -3 d'
_space_group_IT_number 230
_space_group_name_Hall '-I 4bd 2c 3'
_cell_length_a 15.292
_cell_length_b 15.292
_cell_length_c 15.292
_cell_angle_alpha 90.00
_cell_angle_beta 90.00
_cell_angle_gamma 90.00
loop_
_atom_site_label
_atom_site_type_symbol
_atom_site_fract_x
_atom_site_fract_y
_atom_site_fract_z
Ba1 Ba 0.000 0.250 0.125
Pb1 Pb 0.000 0.000 0.000
Pb2 Pb 0.000 0.250 0.375
F1 F 0.007 0.066 0.655

Record 3
# Sr2BePO | Alexandria via LeMat-Bulk | PBE | optimized geometry
# DFT total energy: -0.36791 Ry per atom
data_Sr2BePO
_chemical_formula_sum 'Sr4 Be2 P2 O2'
_space_group_name_H-M_alt 'P 1 21/m 1'
_space_group_IT_number 11
_cell_length_a 6.319
_cell_length_b 3.801
_cell_length_c 8.616
_cell_angle_alpha 90.00
_cell_angle_beta 109.74
_cell_angle_gamma 90.00
loop_
_space_group_symop_operation_xyz
'x,y,z'
'-x,-y,-z'
'-x,y+1/2,-z'
'x,-y+1/2,z'
loop_
_atom_site_label
_atom_site_type_symbol
_atom_site_fract_x
_atom_site_fract_y
_atom_site_fract_z
Sr1 Sr 0.206 0.250 0.392
Sr2 Sr 0.224 0.250 0.966
Be1 Be 0.459 0.750 0.245
P1 P 0.349 0.750 0.711
O1 O 0.195 0.750 0.174

Record 4
# AgOsPbBr2 | Alexandria via LeMat-Bulk | PBE | optimized geometry
# offset from the most stable computed form: 0.2981 eV per atom
data_AgOsPbBr2
_chemical_formula_sum 'Ag1 Os1 Pb1 Br2'
_space_group_name_H-M_alt 'P 4/m m m'
_space_group_IT_number 123
_space_group_name_Hall '-P 4 2'
_cell_length_a 5.784
_cell_length_b 5.784
_cell_length_c 5.484
_cell_angle_alpha 90.00
_cell_angle_beta 90.00
_cell_angle_gamma 90.00
loop_
_atom_site_label
_atom_site_type_symbol
_atom_site_fract_x
_atom_site_fract_y
_atom_site_fract_z
Ag1 Ag 0.000 0.000 0.000
Os1 Os 0.500 0.500 0.000
Pb1 Pb 0.000 0.000 0.500
Br1 Br 0.000 0.500 0.500

Record 5
# MgMnPb2 | Alexandria via LeMat-Bulk | PBE | optimized geometry
# formation energy: 0.21 eV per atom
data_MgMnPb2
_chemical_formula_sum 'Mg1 Mn1 Pb2'
_space_group_name_H-M_alt 'P 4 m m'
_space_group_IT_number 99
_cell_length_a 3.363
_cell_length_b 3.363
_cell_length_c 8.699
_cell_angle_alpha 90.00
_cell_angle_beta 90.00
_cell_angle_gamma 90.00
loop_
_space_group_symop_operation_xyz
'x,y,z'
'-y,x,z'
'-x,-y,z'
'y,-x,z'
'-x,y,z'
'y,x,z'
'x,-y,z'
'-y,-x,z'
loop_
_atom_site_label
_atom_site_type_symbol
_atom_site_fract_x
_atom_site_fract_y
_atom_site_fract_z
Mg1 Mg 0.000 0.000 0.000
Mn1 Mn 0.500 0.500 0.189
Pb1 Pb 0.000 0.000 0.405
Pb2 Pb 0.500 0.500 0.740

Record 6
# AsAuSe2 | Alexandria via LeMat-Bulk | PBE | optimized geometry
# DFT total energy: -0.25950 Ry per atom
data_AsAuSe2
_chemical_formula_sum 'As2 Au2 Se4'
_space_group_name_H-M_alt 'I m m m'
_space_group_IT_number 71
_space_group_name_Hall '-I 2 2'
_cell_length_a 4.005
_cell_length_b 4.154
_cell_length_c 11.440
_cell_angle_alpha 90.00
_cell_angle_beta 90.00
_cell_angle_gamma 90.00
loop_
_atom_site_label
_atom_site_type_symbol
_atom_site_fract_x
_atom_site_fract_y
_atom_site_fract_z
As1 As 0.000 0.000 0.000
Au1 Au 0.000 0.000 0.500
Se1 Se 0.000 0.500 0.160

Record 7
# Cu | Alexandria via LeMat-Bulk | PBE | optimized geometry
# formation energy: 0.06 eV per atom
# offset from the most stable computed form: 0.0574 eV per atom
data_Cu
_chemical_formula_sum 'Cu2'
_space_group_name_H-M_alt 'I m -3 m'
_space_group_IT_number 229
_space_group_name_Hall '-I 4 2 3'
_cell_length_a 2.881
_cell_length_b 2.881
_cell_length_c 2.881
_cell_angle_alpha 90.00
_cell_angle_beta 90.00
_cell_angle_gamma 90.00
loop_
_atom_site_label
_atom_site_type_symbol
_atom_site_fract_x
_atom_site_fract_y
_atom_site_fract_z
Cu1 Cu 0.000 0.000 0.000

Record 8
# Tb3Sm5In4 | Alexandria via LeMat-Bulk | PBE | optimized geometry
# formation energy: -0.10 eV per atom
data_Tb3Sm5In4
_chemical_formula_sum 'Tb6 Sm10 In8'
_space_group_name_H-M_alt 'C 1 2/m 1'
_space_group_IT_number 12
_cell_length_a 15.094
_cell_length_b 5.755
_cell_length_c 9.055
_cell_angle_alpha 90.00
_cell_angle_beta 113.87
_cell_angle_gamma 90.00
loop_
_space_group_symop_operation_xyz
'x,y,z'
'-x,-y,-z'
'-x,y,-z'
'x,-y,z'
'x+1/2,y+1/2,z'
'-x+1/2,-y+1/2,-z'
'-x+1/2,y+1/2,-z'
'x+1/2,-y+1/2,z'
loop_
_atom_site_label
_atom_site_type_symbol
_atom_site_fract_x
_atom_site_fract_y
_atom_site_fract_z
Tb1 Tb 0.000 0.000 0.000
Tb2 Tb 0.068 0.500 0.415
Sm1 Sm 0.000 0.500 0.000
Sm2 Sm 0.174 0.000 0.387
Sm3 Sm 0.187 0.500 0.846
In1 In 0.063 0.000 0.684
In2 In 0.221 0.500 0.231

no.,total magnetic moment (μB/atom)
1,0.00
2,0.00
3,0.00
4,0.92
5,0.96
6,0.00
7,0.00
8,0.00